The following is a DFT calculation (GGA-PBEsol) of a relaxed TaMo2Cl crystal.

Cell lengths 2.8416, 2.8416, 7.7107 Å; angles 90.00, 90.00, 90.00 degrees
Fractional positions:
Ta (0.5000, 0.5000, 0.0000)
Mo (0.0000, 0.0000, 0.7278)
Mo (0.0000, 0.0000, 0.2722)
Cl (0.5000, 0.5000, 0.5000)

Summary:
energy above the most stable polymorph in this dataset = 0.000 eV per atom
space-group type = P4/mmm, No. 123
ΔE_f (raw) = 0.43 eV/atom